Record 1
LiAg2SnSe4 | PBE-GGA | relaxed

a = 7.804 Å, b = 7.863 Å, c = 11.480 Å
α = 90.00°, β = 90.00°, γ = 90.00°
Space group Imma (No. 74)
One atom of each set of equivalent atoms:
1 Li 0.000 0.000 0.000 (multiplicity 4)
2 Ag 0.000 0.000 0.500 (multiplicity 4)
3 Ag 0.250 0.250 0.250 (multiplicity 4)
4 Sn 0.250 0.250 0.750 (multiplicity 4)
5 Se 0.000 0.001 0.227 (multiplicity 8)
6 Se 0.231 0.250 0.507 (multiplicity 8)

For the formation energy without anion corrections, the calculation gives -0.34 eV per atom. Its volume is 704.4 Å³/cell. The calculation puts the total energy at -3.540 eV/atom. The value obtained for the spin magnetization is 0.000 μB per formula unit. Its crystal system is orthorhombic.



Record 2
LiAg3Sn3Se8 | PBE-GGA | relaxed

a = 7.8964 Å, b = 7.8964 Å, c = 19.6002 Å
α = 90.00°, β = 90.00°, γ = 120.00°
Space group R-3m (No. 166, hexagonal axes)
One atom of each set of equivalent atoms:
1 Li 0.0000 0.0000 0.0000 (multiplicity 3)
2 Ag 0.0000 0.5000 0.5000 (multiplicity 9)
3 Sn 0.0000 0.5000 0.0000 (multiplicity 9)
4 Se 0.0000 0.0000 0.2490 (multiplicity 6)
5 Se 0.0069 0.5035 0.7468 (multiplicity 18)

For the formation energy without anion corrections, the calculation gives -0.28 eV per atom. Its volume is 1058.4 Å³/cell. The calculation puts the total energy at -3.638 eV/atom. The value obtained for the spin magnetization is 0.000 μB per formula unit. Its crystal system is trigonal.



Record 3
SrLiAgSe2 | PBE-GGA | relaxed

a = 5.842 Å, b = 14.391 Å, c = 5.707 Å
α = 90.00°, β = 90.00°, γ = 90.00°
Space group Cmme (No. 67)
One atom of each set of equivalent atoms:
1 Sr 0.000 0.250 0.237 (multiplicity 4)
2 Li 0.250 0.000 0.500 (multiplicity 4)
3 Ag 0.000 0.000 0.000 (multiplicity 4)
4 Se 0.000 0.133 0.721 (multiplicity 8)

For the formation energy without anion corrections, the calculation gives -1.11 eV per atom. Its volume is 479.8 Å³/cell. The calculation puts the total energy at -3.796 eV/atom. The value obtained for the spin magnetization is 0.000 μB per formula unit. Its crystal system is orthorhombic.



Record 4
Li2TaAg3Se6 | PBE-GGA | relaxed

a = 6.625 Å, b = 12.220 Å, c = 6.959 Å
α = 90.00°, β = 110.66°, γ = 90.00°
Space group C2/m (No. 12)
One atom of each set of equivalent atoms:
1 Li 0.000 0.193 0.000 (multiplicity 4)
2 Ta 0.000 0.500 0.000 (multiplicity 2)
3 Ag 0.000 0.000 0.500 (multiplicity 2)
4 Ag 0.000 0.345 0.500 (multiplicity 4)
5 Se 0.184 0.000 0.152 (multiplicity 4)
6 Se 0.211 0.348 0.254 (multiplicity 8)

For the formation energy without anion corrections, the calculation gives -0.44 eV per atom. Its volume is 527.1 Å³/cell. The calculation puts the total energy at -4.198 eV/atom. The value obtained for the spin magnetization is 0.000 μB per formula unit. Its crystal system is monoclinic.



Record 5
Li2TaAgSe4 | PBE-GGA | relaxed

a = 5.277 Å, b = 5.277 Å, c = 11.892 Å
α = 90.00°, β = 90.00°, γ = 90.00°
Space group I-4m2 (No. 119)
One atom of each set of equivalent atoms:
1 Li 0.000 0.000 0.000 (multiplicity 2)
2 Li 0.000 0.500 0.250 (multiplicity 2)
3 Ta 0.000 0.000 0.500 (multiplicity 2)
4 Ag 0.000 0.500 0.750 (multiplicity 2)
5 Se 0.000 0.000 0.281 (multiplicity 4)
6 Se 0.000 0.500 0.012 (multiplicity 4)

For the formation energy without anion corrections, the calculation gives -0.64 eV per atom. Its volume is 331.2 Å³/cell. The calculation puts the total energy at -4.701 eV/atom. The value obtained for the spin magnetization is 0.000 μB per formula unit. Its crystal system is tetragonal.



Record 6
LiTaAg2Se4 | PBE-GGA | relaxed

a = 8.403 Å, b = 7.267 Å, c = 7.036 Å
α = 90.00°, β = 90.00°, γ = 90.00°
Space group Pmn2_1 (No. 31)
One atom of each set of equivalent atoms:
1 Li 0.000 0.159 0.000 (multiplicity 2)
2 Ta 0.000 0.826 0.501 (multiplicity 2)
3 Ag 0.248 0.316 0.521 (multiplicity 4)
4 Se 0.000 0.136 0.372 (multiplicity 2)
5 Se 0.000 0.837 0.845 (multiplicity 2)
6 Se 0.240 0.668 0.397 (multiplicity 4)

For the formation energy without anion corrections, the calculation gives -0.56 eV per atom. Its volume is 429.7 Å³/cell. The calculation puts the total energy at -4.739 eV/atom. The value obtained for the spin magnetization is 0.000 μB per formula unit. Its crystal system is orthorhombic.



Record 7
LiTb2AgSe4 | PBE-GGA | relaxed

a = 6.946 Å, b = 4.141 Å, c = 7.164 Å
α = 90.00°, β = 110.28°, γ = 90.00°
Space group P2/m (No. 10)
One atom of each set of equivalent atoms:
1 Li 0.000 0.000 0.000 (multiplicity 1)
2 Tb 0.500 0.000 0.500 (multiplicity 1)
3 Tb 0.500 0.500 0.000 (multiplicity 1)
4 Ag 0.000 0.500 0.500 (multiplicity 1)
5 Se 0.251 0.000 0.753 (multiplicity 2)
6 Se 0.251 0.500 0.246 (multiplicity 2)

For the formation energy without anion corrections, the calculation gives -1.43 eV per atom. Its volume is 193.3 Å³/cell. The calculation puts the total energy at -4.925 eV/atom. The value obtained for the spin magnetization is 0.000 μB per formula unit. Its crystal system is monoclinic.



Record 8
LiAg4Te3Se8 | PBE-GGA | relaxed

a = 13.858 Å, b = 8.127 Å, c = 8.038 Å
α = 90.00°, β = 124.49°, γ = 90.00°
Space group C2/m (No. 12)
One atom of each set of equivalent atoms:
1 Li 0.000 0.000 0.000 (multiplicity 2)
2 Ag 0.000 0.000 0.500 (multiplicity 2)
3 Ag 0.000 0.500 0.500 (multiplicity 2)
4 Ag 0.250 0.250 0.000 (multiplicity 4)
5 Te 0.000 0.500 0.000 (multiplicity 2)
6 Te 0.250 0.250 0.500 (multiplicity 4)
7 Se 0.000 0.246 0.247 (multiplicity 8)
8 Se 0.245 0.000 0.756 (multiplicity 4)
9 Se 0.248 0.000 0.247 (multiplicity 4)

For the formation energy without anion corrections, the calculation gives -0.12 eV per atom. Its volume is 746.2 Å³/cell. The calculation puts the total energy at -3.283 eV/atom. The value obtained for the spin magnetization is 0.000 μB per formula unit. Its crystal system is monoclinic.



Record 9
Li2AgTeSe4 | PBE-GGA | relaxed

a = 7.799 Å, b = 7.831 Å, c = 11.734 Å
α = 90.00°, β = 90.00°, γ = 90.00°
Space group Imma (No. 74)
One atom of each set of equivalent atoms:
1 Li 0.000 0.000 0.000 (multiplicity 4)
2 Li 0.250 0.250 0.250 (multiplicity 4)
3 Ag 0.250 0.250 0.750 (multiplicity 4)
4 Te 0.000 0.000 0.500 (multiplicity 4)
5 Se 0.000 0.017 0.742 (multiplicity 8)
6 Se 0.243 0.250 0.026 (multiplicity 8)

For the formation energy without anion corrections, the calculation gives -0.42 eV per atom. Its volume is 716.7 Å³/cell. The calculation puts the total energy at -3.388 eV/atom. The value obtained for the spin magnetization is 0.000 μB per formula unit. Its crystal system is orthorhombic.



Record 10
LiThAg2Se4 | PBE-GGA | relaxed

a = 7.234 Å, b = 7.246 Å, c = 7.246 Å
α = 90.00°, β = 90.00°, γ = 90.00°
Space group I222 (No. 23)
One atom of each set of equivalent atoms:
1 Li 0.000 0.000 0.000 (multiplicity 2)
2 Th 0.000 0.500 0.500 (multiplicity 2)
3 Ag 0.247 0.000 0.500 (multiplicity 4)
4 Se 0.213 0.201 0.200 (multiplicity 8)

For the formation energy without anion corrections, the calculation gives -0.81 eV per atom. Its volume is 379.8 Å³/cell. The calculation puts the total energy at -4.429 eV/atom. The value obtained for the spin magnetization is 0.000 μB per formula unit. Its crystal system is orthorhombic.



Record 11
LiTl2AgSe2 | PBE-GGA | relaxed

a = 6.137 Å, b = 16.265 Å, c = 6.129 Å
α = 90.00°, β = 90.00°, γ = 90.00°
Space group Ibam (No. 72)
One atom of each set of equivalent atoms:
1 Li 0.000 0.000 0.250 (multiplicity 4)
2 Tl 0.234 0.328 0.000 (multiplicity 8)
3 Ag 0.000 0.500 0.250 (multiplicity 4)
4 Se 0.228 0.099 0.000 (multiplicity 8)

For the formation energy without anion corrections, the calculation gives -0.53 eV per atom. Its volume is 611.8 Å³/cell. The calculation puts the total energy at -3.271 eV/atom. The value obtained for the spin magnetization is 0.000 μB per formula unit. Its crystal system is orthorhombic.



Record 12
LiTlAgSe2 | PBE-GGA | relaxed

a = 14.530 Å, b = 4.194 Å, c = 11.040 Å
α = 90.00°, β = 130.94°, γ = 90.00°
Space group C2/m (No. 12)
One atom of each set of equivalent atoms:
1 Li 0.041 0.000 0.175 (multiplicity 4)
2 Tl 0.186 0.000 0.608 (multiplicity 4)
3 Ag 0.147 0.500 0.927 (multiplicity 4)
4 Se 0.082 0.500 0.343 (multiplicity 4)
5 Se 0.185 0.000 0.110 (multiplicity 4)

For the formation energy without anion corrections, the calculation gives -0.45 eV per atom. Its volume is 508.2 Å³/cell. The calculation puts the total energy at -3.271 eV/atom. The value obtained for the spin magnetization is 0.000 μB per formula unit. Its crystal system is monoclinic.



Question: Which formula does entry 2 have?
Answer: LiAg3Sn3Se8



Question: What is the total energy in the second record?
Answer: -3.638 eV/atom